Entry i
This record from Alexandria describes crystalline TaCr2Co2 at its relaxed geometry. The functional is PBE-GGA.

## Properties
Volume in Å³ per cell: 125

a b c (Å): 6.965 6.965 2.574
angles (deg): 90.00 90.00 90.00
Fractional positions:
Ta (0.000, 0.000, 0.000)
Ta (0.500, 0.500, 0.000)
Cr (0.170, 0.330, 0.500)
Cr (0.330, 0.830, 0.500)
Cr (0.670, 0.170, 0.500)
Cr (0.830, 0.670, 0.500)
Co (0.124, 0.624, 0.000)
Co (0.376, 0.124, 0.000)
Co (0.624, 0.876, 0.000)
Co (0.876, 0.376, 0.000)

Entry ii
This record from Alexandria describes crystalline TaCr2Co2 at its relaxed geometry. The functional is PBE-GGA.

## Properties
Volume in Å³ per cell: 125

a b c (Å): 6.968 6.968 2.568
angles (deg): 90.00 90.00 90.00
Fractional positions:
Ta (0.000, 0.000, 0.000)
Ta (0.500, 0.500, 0.000)
Cr (0.118, 0.382, 0.000)
Cr (0.382, 0.882, 0.000)
Cr (0.618, 0.118, 0.000)
Cr (0.882, 0.618, 0.000)
Co (0.176, 0.676, 0.500)
Co (0.324, 0.176, 0.500)
Co (0.676, 0.824, 0.500)
Co (0.824, 0.324, 0.500)

Name the most stable of them. entry i.

Entry i
This record from Alexandria describes crystalline TaCrCo at its relaxed geometry. The functional is PBE-GGA.

## Properties
Volume in Å³ per cell: 80

a b c (Å): 6.187 6.187 4.086
angles (deg): 90.00 90.00 149.09
Fractional positions:
Ta (0.094, 0.906, 0.750)
Ta (0.906, 0.094, 0.250)
Cr (0.408, 0.592, 0.750)
Cr (0.592, 0.408, 0.250)
Co (0.242, 0.758, 0.250)
Co (0.758, 0.242, 0.750)

Entry ii
This record from Alexandria describes crystalline TaCrCo at its relaxed geometry. The functional is PBE-GGA.

## Properties
Volume in Å³ per cell: 42

a b c (Å): 4.219 4.219 2.720
angles (deg): 90.00 90.00 120.00
Fractional positions:
Ta (0.000, 0.000, 0.000)
Cr (0.333, 0.667, 0.653)
Co (0.667, 0.333, 0.323)

Name the most stable of them. entry i.

Entry i
This record from Alexandria describes crystalline TaCrCo at its relaxed geometry. The functional is PBE-GGA.

## Properties
Volume in Å³ per cell: 40

a b c (Å): 5.828 5.809 2.713
angles (deg): 76.90 76.14 26.96
Fractional positions:
Ta (0.000, 0.000, 0.000)
Cr (0.689, 0.689, 0.311)
Co (0.320, 0.320, 0.680)

Entry ii
This record from Alexandria describes crystalline TaCrCo at its relaxed geometry. The functional is PBE-GGA.

## Properties
Volume in Å³ per cell: 159

a b c (Å): 7.993 4.775 4.775
angles (deg): 60.63 90.00 90.00
Fractional positions:
Ta (0.184, 0.000, 0.000)
Ta (0.311, 0.668, 0.668)
Ta (0.689, 0.668, 0.668)
Ta (0.816, 0.000, 0.000)
Cr (0.000, 0.495, 0.495)
Cr (0.500, 0.160, 0.160)
Cr (0.500, 0.163, 0.673)
Cr (0.500, 0.673, 0.163)
Co (0.000, 0.491, 0.984)
Co (0.000, 0.984, 0.491)
Co (0.244, 0.330, 0.330)
Co (0.756, 0.330, 0.330)

Name the most stable of them. entry ii.